[1]
VASP calculation (meta-GGA SCAN) on a crystal of LiNi3 relaxed with PBEsol.

Calculated values
The value obtained for the formation energy from the elements is 0.7 kcal/mol of atoms. The calculation puts the density of states at the Fermi level at 2.552 states/eV/f.u. The value obtained for the total energy is -12.70 eV/atom.

Cell lengths 2.429, 4.023, 4.246 Å; angles 90.00, 90.00, 90.00 degrees
Space group Pmm2 (No. 25)
Unique sites:
Li (0.000, 0.000, 0.000)
Ni (0.000, 0.500, 0.339)
Ni (0.500, 0.000, 0.499)
Ni (0.500, 0.500, 0.834)

***

[2]
VASP calculation (meta-GGA SCAN) on a crystal of LiNi relaxed with PBEsol.

Calculated values
The value obtained for the formation energy from the elements is 0.3 kcal/mol of atoms. The calculation puts the density of states at the Fermi level at 0.975 states/eV/f.u. The value obtained for the total energy is -9.27 eV/atom.

Cell lengths 2.530, 4.126, 4.161 Å; angles 90.00, 90.00, 90.00 degrees
Space group Pmmn (No. 59, origin choice 2)
Unique sites:
Li (0.250, 0.250, 0.014)
Ni (0.250, 0.750, 0.490)

***

[3]
VASP calculation (meta-GGA SCAN) on a crystal of LiNi relaxed with PBEsol.

Calculated values
The value obtained for the formation energy from the elements is 2.1 kcal/mol of atoms. The calculation puts the density of states at the Fermi level at 1.091 states/eV/f.u. The value obtained for the total energy is -9.19 eV/atom.

Cell lengths 2.5064, 2.5064, 8.6474 Å; angles 90.00, 90.00, 120.00 degrees
Space group P-3m1 (No. 164)
Unique sites:
Li (0.3333, 0.6667, 0.1520)
Ni (0.3333, 0.6667, 0.6133)

***

[4]
VASP calculation (meta-GGA SCAN) on a crystal of LiNi3 relaxed with PBEsol.

Calculated values
The value obtained for the formation energy from the elements is 1.7 kcal/mol of atoms. The calculation puts the density of states at the Fermi level at 4.370 states/eV/f.u. The value obtained for the total energy is -12.65 eV/atom.

Cell lengths 4.046, 4.046, 2.529 Å; angles 90.00, 90.00, 90.00 degrees
Space group P4/mmm (No. 123)
Unique sites:
Li (0.000, 0.000, 0.000)
Ni (0.000, 0.500, 0.500)
Ni (0.500, 0.500, 0.000)

***

> Look up the formation energy from the elements of the third one.

2.1 kcal/mol of atoms

***

> Which value of formation energy from the elements does entry 2 give?

0.3 kcal/mol of atoms

***

> Look up the formation energy from the elements of the first one.

0.7 kcal/mol of atoms

***

> Among the records above, which one has the highest formation energy from the elements?

number 3